# DyPuAlCd

DyPuAlCd after structural relaxation (GGA-PBE, the Alexandria database).

## Properties
Uncorrected energy (eV for the cell shown): -24.191

Lattice parameters (Å, degrees): 5.2249 5.2249 5.2249 60.00 60.00 60.00
Last column: magnetic moment on the atom in μB.
Positions (direct):
Cd  0.0000  0.0000  0.0000  0.04
Dy  0.2500  0.2500  0.2500  0.25
Al  0.5000  0.5000  0.5000  -0.03
Pu  0.7500  0.7500  0.7500  5.45

---

# SrDyAlCd

SrDyAlCd after structural relaxation (GGA-PBE, the Alexandria database).

## Properties
Uncorrected energy (eV for the cell shown): -11.818

Lattice parameters (Å, degrees): 5.4151 5.4151 5.4151 60.00 60.00 60.00
Positions (direct):
Sr  0.5000  0.5000  0.5000
Cd  0.7500  0.7500  0.7500
Al  0.2500  0.2500  0.2500
Dy  0.0000  0.0000  0.0000